Below is crystalline Ta2SnP2 at its relaxed geometry, with properties calculated at the PBE level.

* DOS(E_F): 2.3 states/eV/f.u.
* formation energy: -0.32 eV per atom
* M_tot: 0.00 μB per formula unit

Lattice parameters (Å, degrees): 7.3914 7.3914 3.1802 90.00 90.00 90.00
Positions (direct):
1 P 0.1364 0.6364 0.5000
2 P 0.6364 0.8636 0.5000
3 P 0.8636 0.3636 0.5000
4 P 0.3636 0.1364 0.5000
5 Sn 0.0000 0.0000 0.0000
6 Sn 0.5000 0.5000 0.0000
7 Ta 0.3552 0.8552 0.0000
8 Ta 0.8552 0.6448 0.0000
9 Ta 0.6448 0.1448 0.0000
10 Ta 0.1448 0.3552 0.0000